[1]
# meta-GGA SCAN BaTl2Pb, PBEsol geometry
# Density of states at the Fermi level in states/eV per atom: 0.74
# Energy relative to the elements in meV/atom: -391
# Final energy in eV for the cell shown: -261.6
# ΔE to the lowest computed polymorph in meV/atom: 45
# Crystal system: tetragonal
# Theoretical density in g cm⁻³: 9.99
data_BaTl2Pb
_cell_length_a 4.9746
_cell_length_b 4.9746
_cell_length_c 5.0601
_cell_angle_alpha 90.00
_cell_angle_beta 90.00
_cell_angle_gamma 90.00
_symmetry_space_group_name_H-M 'P 4/m m m'
_symmetry_Int_Tables_number 123
_symmetry_space_group_name_Hall '-P 4 2'
loop_
_atom_site_label
_atom_site_type_symbol
_atom_site_fract_x
_atom_site_fract_y
_atom_site_fract_z
Ba1 Ba 0.0000 0.0000 0.0000
Tl1 Tl 0.0000 0.5000 0.5000
Pb1 Pb 0.5000 0.5000 0.0000


[2]
# meta-GGA SCAN BaTl4Pb, PBEsol geometry
# Density of states at the Fermi level in states/eV per atom: 0.48
# Energy relative to the elements in meV/atom: -208
# Final energy in eV for the cell shown: -1624.0
# Crystal system: cubic
# Theoretical density in g cm⁻³: 10.33
data_BaTl4Pb
_cell_length_a 9.0748
_cell_length_b 9.0748
_cell_length_c 9.0748
_cell_angle_alpha 90.00
_cell_angle_beta 90.00
_cell_angle_gamma 90.00
_symmetry_space_group_name_H-M 'F -4 3 m'
_symmetry_Int_Tables_number 216
_symmetry_space_group_name_Hall 'F -4 2 3'
loop_
_atom_site_label
_atom_site_type_symbol
_atom_site_fract_x
_atom_site_fract_y
_atom_site_fract_z
Ba1 Ba 0.0000 0.0000 0.0000
Tl1 Tl 0.1242 0.1242 0.3758
Pb1 Pb 0.2500 0.2500 0.7500


[3]
# meta-GGA SCAN BaTlPb2, PBEsol geometry
# Density of states at the Fermi level in states/eV per atom: 0.55
# Energy relative to the elements in meV/atom: -446
# Final energy in eV for the cell shown: -265.3
# ΔE to the lowest computed polymorph in meV/atom: 24
# Crystal system: tetragonal
# Theoretical density in g cm⁻³: 9.96
data_BaTlPb2
_cell_length_a 4.9783
_cell_length_b 4.9783
_cell_length_c 5.0869
_cell_angle_alpha 90.00
_cell_angle_beta 90.00
_cell_angle_gamma 90.00
_symmetry_space_group_name_H-M 'P 4/m m m'
_symmetry_Int_Tables_number 123
_symmetry_space_group_name_Hall '-P 4 2'
loop_
_atom_site_label
_atom_site_type_symbol
_atom_site_fract_x
_atom_site_fract_y
_atom_site_fract_z
Ba1 Ba 0.0000 0.0000 0.0000
Tl1 Tl 0.5000 0.5000 0.0000
Pb1 Pb 0.0000 0.5000 0.5000


[4]
# meta-GGA SCAN BaTl2Pb, PBEsol geometry
# Density of states at the Fermi level in states/eV per atom: 0.47
# Energy relative to the elements in meV/atom: -342
# Final energy in eV for the cell shown: -261.4
# ΔE to the lowest computed polymorph in meV/atom: 95
# Crystal system: monoclinic
# Theoretical density in g cm⁻³: 9.64
data_BaTl2Pb
_cell_length_a 3.7136
_cell_length_b 5.4665
_cell_length_c 6.4200
_cell_angle_alpha 90.00
_cell_angle_beta 95.47
_cell_angle_gamma 90.00
_symmetry_space_group_name_H-M 'P 1 2/m 1'
_symmetry_Int_Tables_number 10
_symmetry_space_group_name_Hall '-P 2y'
loop_
_atom_site_label
_atom_site_type_symbol
_atom_site_fract_x
_atom_site_fract_y
_atom_site_fract_z
Ba1 Ba 0.0000 0.0000 0.0000
Tl1 Tl 0.3192 0.5000 0.7283
Pb1 Pb 0.5000 0.0000 0.5000


| no. | volume (Å³/cell) |
| --- | --- |
| 1 | 125 |
| 2 | 747 |
| 3 | 126 |
| 4 | 130 |